The following is a PBE with a Hubbard U calculation of a relaxed KMoAsO6 crystal, from Alexandria via LeMat-Bulk.

Lattice parameters (Å, degrees): 5.1414 5.1414 6.0210 90.00 90.00 120.00
Space group P312 (No. 149)
Asymmetric unit:
K1 0.0000 0.0000 0.0000 [1 per cell]
Mo1 0.6667 0.3333 0.5000 [1 per cell]
As1 0.3333 0.6667 0.5000 [1 per cell]
O1 0.0115 0.3977 0.6781 [6 per cell]

Output
Total moment, μB/f.u.: 0.0
Energy above the lowest structure with this stoichiometry, eV per atom: 0.053